A plane-wave DFT calculation with PBE-GGA was carried out for a relaxed RbHfCu3 crystal.

a b c (Å): 4.9187 4.9187 4.9187
angles (deg): 90.00 90.00 90.00
Sites, in units of the cell vectors:
1 Cu 0.0000 0.5000 0.0000
2 Rb 0.0000 0.0000 0.0000
3 Cu 0.5000 0.0000 0.0000
4 Hf 0.5000 0.5000 0.5000
5 Cu 0.0000 0.0000 0.5000

***

A plane-wave DFT calculation with PBE-GGA was carried out for a relaxed RbHf2Cu crystal.

a b c (Å): 5.7815 5.7815 9.5193
angles (deg): 72.32 72.32 90.00
Sites, in units of the cell vectors:
1 Rb 0.0000 0.0000 0.0000
2 Hf 0.3750 0.6249 0.7500
3 Hf 0.3751 0.1250 0.2500
4 Hf 0.3749 0.6250 0.2500
5 Cu 0.2500 0.7500 0.5000
6 Cu 0.5000 0.5000 0.0000
7 Rb 0.7500 0.2500 0.5000
8 Hf 0.8750 0.6251 0.7500

***

| no. | energy relative to the elements (eV per atom) | excess energy over the best structure of this formula in the dataset (meV/atom) | total energy (eV per atom) |
| --- | --- | --- | --- |
| 1 | 1.904 | 1048 | -2.738 |
| 2 | 1.298 | 64 | -4.944 |